Below is Mn3O2F4 at its PBEsol-relaxed geometry, with properties calculated at the SCAN level.

The value obtained for the energy relative to the lowest polymorph listed for this composition is 1.4 meV/atom. The density of states at the Fermi level is 2.2 states/eV/cell. The calculation puts the magnetization at 26.00 μB/cell. The space group is C2.

```
Mn3O2F4
1.0
3.2902 -3.2741 0.0000
3.2902 3.2741 0.0000
-0.1275 0.0000 9.4734
Mn O F
6 4 8
Cartesian
0.0000 0.0000 0.0000
0.1330 0.0063 6.3924
3.2265 -0.0085 4.7367
3.1523 -0.2402 7.8129
3.3007 -0.2402 1.6605
6.3199 0.0063 3.0810
2.0375 -0.0852 6.2975
4.4154 -0.0852 3.1759
3.1854 -2.1307 1.5663
3.2676 -2.1307 7.9071
3.2265 2.0152 4.7367
3.2220 1.7655 1.4764
3.2310 1.7655 7.9970
1.7498 -0.0572 3.1964
2.0341 -0.1944 0.1235
4.4188 -0.1944 9.3499
4.7032 -0.0572 6.2770
3.2265 -1.9954 4.7367
```

***

Below is RbYO2 at its PBEsol-relaxed geometry, with properties calculated at the SCAN level.

The density of states at the Fermi level is 0.0 states/eV/cell. The calculation puts the magnetization at 0.00 μB/cell. The space group is I-42d. Its uncorrected energy is -144.861 eV/cell.

```
RbYO2
1.0
-3.0725 3.0725 4.5444
3.0725 -3.0725 4.5444
3.0725 3.0725 -4.5444
Rb Y O
2 2 4
Cartesian
0.0000 0.0000 0.0000
0.0000 3.0725 2.2722
3.0725 0.0000 2.2722
0.0000 0.0000 4.5444
1.5362 -0.9429 3.4083
2.1296 1.5362 1.1361
1.5362 4.0153 -1.1361
0.9429 1.5362 5.6805
```

***

Below is Te2AsOsN at its PBEsol-relaxed geometry, with properties calculated at the SCAN level.

The density of states at the Fermi level is 3.7 states/eV/cell. The calculation puts the magnetization at 0.00 μB/cell. The space group is P4/mmm. Its uncorrected energy is -168.423 eV/cell.

```
Te2AsOsN
1.0
5.2801 0.0000 0.0000
0.0000 5.2801 0.0000
0.0000 0.0000 3.4445
Te As Os N
2 1 1 1
Cartesian
0.0000 2.6401 0.0000
2.6401 0.0000 0.0000
0.0000 0.0000 0.0000
2.6401 2.6401 1.7223
0.0000 0.0000 1.7223
```

***

Below is BePRu2 at its PBEsol-relaxed geometry, with properties calculated at the SCAN level.

The value obtained for the energy relative to the lowest polymorph listed for this composition is 0.0 meV/atom. Its formation energy from the elements is -0.55 eV/atom. The density of states at the Fermi level is 1.7 states/eV/cell. The calculation puts the magnetization at 0.00 μB/cell. The space group is Fm-3m.

```
BePRu2
1.0
0.0000 2.8080 2.8080
2.8080 0.0000 2.8080
2.8080 2.8080 0.0000
Be P Ru
1 1 2
Cartesian
0.0000 0.0000 0.0000
2.8080 2.8080 2.8080
1.4040 1.4040 1.4040
4.2119 4.2119 4.2119
```

***

Below is CsCdF2 at its PBEsol-relaxed geometry, with properties calculated at the SCAN level.

The value obtained for the energy relative to the lowest polymorph listed for this composition is 0.0 meV/atom. The density of states at the Fermi level is 0.9 states/eV/cell. The calculation puts the magnetization at 0.00 μB/cell. The space group is R-3m.

```
CsCdF2
1.0
1.9851 1.1461 7.8079
-1.9851 1.1461 7.8079
0.0000 -2.2922 7.8079
Cs Cd F
1 1 2
Cartesian
0.0000 0.0000 0.0000
0.0000 0.0000 11.7118
0.0000 0.0000 9.5602
0.0000 0.0000 13.8634
```

***

Below is AcTlAu2 at its PBEsol-relaxed geometry, with properties calculated at the SCAN level.

Its formation energy from the elements is -0.71 eV/atom. The density of states at the Fermi level is 2.3 states/eV/cell. The calculation puts the magnetization at 0.00 μB/cell. The space group is Fm-3m.

```
AcTlAu2
1.0
0.0000 3.6661 3.6661
3.6661 0.0000 3.6661
3.6661 3.6661 0.0000
Ac Tl Au
1 1 2
Cartesian
0.0000 0.0000 0.0000
3.6661 3.6661 3.6661
1.8331 1.8331 1.8331
5.4992 5.4992 5.4992
```